Record 1
DFT (PBE) results for PaSI after structural relaxation.

The total energy comes out at -6.1756 eV per atom. The value obtained for the density is 6.2 g/cm3. Its crystal system is trigonal. As for the volume: 34.634 Å³/atom. Its formation energy from raw total energies is -1.118 eV/atom. For the relative energy among the computed polymorphs, the calculation gives 0.51 eV per formula unit.

The structure belongs to space group P3m1 (No. 156); the cell edges are 4.0464, 4.0464 and 7.3275 Å and the angles 90.00°, 90.00° and 120.00°. The inequivalent atoms are Pa at (0.0000, 0.0000, 0.0000), S at (0.3333, 0.6667, 0.8114) and I at (0.6667, 0.3333, 0.2976).

***

Record 2
DFT (PBE) results for PaSI3 after structural relaxation.

The total energy comes out at -4.7255 eV per atom. The value obtained for the density is 2.8 g/cm3. Its crystal system is monoclinic. As for the volume: 75.871 Å³/atom. Its formation energy from raw total energies is -1.071 eV/atom.

The structure belongs to space group P2/c (No. 13); the cell edges are 9.316, 12.406 and 13.317 Å and the angles 90.00°, 99.64° and 90.00°. The inequivalent atoms are Pa at (0.081, 0.134, 0.123), S at (0.167, 0.126, 0.316), I at (0.069, 0.118, 0.605), I at (0.072, 0.366, 0.098) and I at (0.375, 0.121, 0.077).

***

Record 3
DFT (PBE) results for PaS2I4 after structural relaxation.

The total energy comes out at -3.9357 eV per atom. The value obtained for the density is 4.4 g/cm3. Its crystal system is triclinic. As for the volume: 43.580 Å³/atom. Its formation energy from raw total energies is -0.514 eV/atom.

The structure belongs to space group P-1 (No. 2); the cell edges are 3.740, 9.004 and 9.259 Å and the angles 88.88°, 89.94° and 78.15°. The inequivalent atoms are Pa at (0.000, 0.000, 0.000), S at (0.251, 0.559, 0.483), I at (0.363, 0.279, 0.913) and I at (0.457, 0.086, 0.264).

***

Record 4
DFT (PBE) results for PaS8I2 after structural relaxation.

The total energy comes out at -4.4765 eV per atom. The value obtained for the density is 3.2 g/cm3. Its crystal system is triclinic. As for the volume: 35.404 Å³/atom. Its formation energy from raw total energies is -0.330 eV/atom.

The structure belongs to space group P-1 (No. 2); the cell edges are 6.160, 6.443 and 11.337 Å and the angles 80.74°, 74.51° and 64.06°. The inequivalent atoms are Pa at (0.000, 0.000, 0.000), S at (0.016, 0.212, 0.773), S at (0.107, 0.565, 0.936), S at (0.339, 0.931, 0.759), S at (0.417, 0.926, 0.073) and I at (0.361, 0.640, 0.620).

***

Record 5
DFT (PBE) results for PaS2I after structural relaxation.

The total energy comes out at -5.8803 eV per atom. The value obtained for the density is 6.2 g/cm3. Its crystal system is trigonal. As for the volume: 28.196 Å³/atom. Its formation energy from raw total energies is -1.055 eV/atom. For the relative energy among the computed polymorphs, the calculation gives 1.32 eV per formula unit.

The structure belongs to space group R-3m (No. 166, hexagonal axes); the cell edges are 4.3340, 4.3340 and 20.7999 Å and the angles 90.00°, 90.00° and 120.00°. The inequivalent atoms are Pa at (0.0000, 0.0000, 0.0000), S at (0.0000, 0.0000, 0.2849) and I at (0.0000, 0.0000, 0.5000).

***

Record 6
DFT (PBE) results for PaSeSI after structural relaxation.

The total energy comes out at -5.8776 eV per atom. The value obtained for the density is 5.6 g/cm3. Its crystal system is monoclinic. As for the volume: 34.608 Å³/atom. Its formation energy from raw total energies is -1.213 eV/atom.

The structure belongs to space group Cm (No. 8); the cell edges are 7.675, 4.434 and 8.364 Å and the angles 90.00°, 103.41° and 90.00°. The inequivalent atoms are Pa at (0.000, 0.000, 0.000), Se at (0.122, 0.500, 0.823), S at (0.355, 0.000, 0.086) and I at (0.093, 0.000, 0.367).

***

Record 7
DFT (PBE) results for PaSiS4I after structural relaxation.

The total energy comes out at -5.6161 eV per atom. The value obtained for the density is 4.6 g/cm3. Its crystal system is monoclinic. As for the volume: 26.783 Å³/atom. Its formation energy from raw total energies is -0.905 eV/atom.

The structure belongs to space group C2/m (No. 12); the cell edges are 11.651, 8.516 and 7.813 Å and the angles 90.00°, 104.68° and 90.00°. The inequivalent atoms are Pa at (0.235, 0.000, 0.129), Si at (0.137, 0.500, 0.281), S at (0.041, 0.500, 0.704), S at (0.174, 0.316, 0.112), S at (0.236, 0.000, 0.474) and I at (0.028, 0.000, 0.784).

***

Record 8
DFT (PBE) results for PaTlS2I2 after structural relaxation.

The total energy comes out at -4.7813 eV per atom. The value obtained for the density is 5.6 g/cm3. Its crystal system is orthorhombic. As for the volume: 37.129 Å³/atom. Its formation energy from raw total energies is -0.912 eV/atom.

The structure belongs to space group Ibam (No. 72); the cell edges are 8.081, 14.809 and 7.446 Å and the angles 90.00°, 90.00° and 90.00°. The inequivalent atoms are Pa at (0.000, 0.000, 0.250), Tl at (0.000, 0.500, 0.250), S at (0.177, 0.081, 0.000) and I at (0.226, 0.149, 0.500).

***

Record 9
DFT (PBE) results for U2PaS6I3 after structural relaxation.

The total energy comes out at -6.1858 eV per atom. The value obtained for the density is 4.7 g/cm3. Its crystal system is monoclinic. As for the volume: 37.727 Å³/atom. Its formation energy from raw total energies is -1.062 eV/atom.

The structure belongs to space group C2/m (No. 12); the cell edges are 6.986, 12.161 and 10.742 Å and the angles 90.00°, 97.17° and 90.00°. The inequivalent atoms are U at (0.000, 0.167, 0.000), Pa at (0.000, 0.500, 0.000), S at (0.189, 0.335, 0.127), S at (0.194, 0.000, 0.128), I at (0.000, 0.000, 0.500) and I at (0.000, 0.240, 0.500).

***

Record 10
DFT (PBE) results for Pa2SbI2 after structural relaxation.

The total energy comes out at -5.8157 eV per atom. The value obtained for the density is 8.0 g/cm3. Its crystal system is trigonal. As for the volume: 34.817 Å³/atom. Its formation energy from raw total energies is -0.573 eV/atom.

The structure belongs to space group R-3m (No. 166, hexagonal axes); the cell edges are 4.0026, 4.0026 and 37.6410 Å and the angles 90.00°, 90.00° and 120.00°. The inequivalent atoms are Pa at (0.0000, 0.0000, 0.1131), Sb at (0.0000, 0.0000, 0.5000) and I at (0.0000, 0.0000, 0.2788).

***

Record 11
DFT (PBE) results for Pa2SbI6 after structural relaxation.

The total energy comes out at -4.3372 eV per atom. The value obtained for the density is 5.5 g/cm3. Its crystal system is monoclinic. As for the volume: 44.959 Å³/atom. Its formation energy from raw total energies is -0.736 eV/atom.

The structure belongs to space group C2/m (No. 12); the cell edges are 17.494, 3.856 and 13.738 Å and the angles 90.00°, 119.15° and 90.00°. The inequivalent atoms are Pa at (0.062, 0.000, 0.211), Sb at (0.000, 0.500, 0.000), I at (0.092, 0.500, 0.409), I at (0.109, 0.500, 0.879) and I at (0.218, 0.500, 0.246).

***

Record 12
DFT (PBE) results for PaSbI3 after structural relaxation.

The total energy comes out at -4.2851 eV per atom. The value obtained for the density is 4.8 g/cm3. Its crystal system is monoclinic. As for the volume: 50.622 Å³/atom. Its formation energy from raw total energies is -0.631 eV/atom.

The structure belongs to space group P2/c (No. 13); the cell edges are 8.307, 8.193 and 14.908 Å and the angles 90.00°, 93.79° and 90.00°. The inequivalent atoms are Pa at (0.069, 0.113, 0.145), Sb at (0.153, 0.391, 0.291), I at (0.128, 0.210, 0.531), I at (0.229, 0.092, 0.798) and I at (0.368, 0.249, 0.082).

***

Record 13
DFT (PBE) results for PaSbI after structural relaxation.

The total energy comes out at -5.4468 eV per atom. The value obtained for the density is 8.4 g/cm3. Its crystal system is tetragonal. As for the volume: 31.720 Å³/atom. Its formation energy from raw total energies is -0.391 eV/atom. For the relative energy among the computed polymorphs, the calculation gives 0.00 eV per formula unit.

The structure belongs to space group I4mm (No. 107); the cell edges are 3.768, 3.768 and 13.408 Å and the angles 90.00°, 90.00° and 90.00°. The inequivalent atoms are Pa at (0.000, 0.000, 0.000), Sb at (0.000, 0.000, 0.379) and I at (0.000, 0.000, 0.647).

***

Record 14
DFT (PBE) results for PaSbI after structural relaxation.

The total energy comes out at -5.2286 eV per atom. The value obtained for the density is 9.2 g/cm3. Its crystal system is hexagonal. As for the volume: 28.999 Å³/atom. Its formation energy from raw total energies is -0.172 eV/atom. For the relative energy among the computed polymorphs, the calculation gives 0.65 eV per formula unit.

The structure belongs to space group P-6m2 (No. 187); the cell edges are 5.3227, 5.3227 and 3.5457 Å and the angles 90.00°, 90.00° and 120.00°. The inequivalent atoms are Pa at (0.0000, 0.0000, 0.0000), Sb at (0.6667, 0.3333, 0.5000) and I at (0.3333, 0.6667, 0.0000).

***

Record 15
DFT (PBE) results for ScPa2I8 after structural relaxation.

The total energy comes out at -4.1741 eV per atom. The value obtained for the density is 4.4 g/cm3. Its crystal system is monoclinic. As for the volume: 52.625 Å³/atom. Its formation energy from raw total energies is -0.745 eV/atom.

The structure belongs to space group C2/m (No. 12); the cell edges are 15.399, 11.808 and 6.369 Å and the angles 90.00°, 91.07° and 90.00°. The inequivalent atoms are Sc at (0.000, 0.000, 0.000), Pa at (0.188, 0.000, 0.271), I at (0.073, 0.202, 0.244), I at (0.120, 0.500, 0.744) and I at (0.172, 0.000, 0.770).

***

Record 16
DFT (PBE) results for ScPaI5 after structural relaxation.

The total energy comes out at -4.3199 eV per atom. The value obtained for the density is 5.1 g/cm3. Its crystal system is monoclinic. As for the volume: 42.271 Å³/atom. Its formation energy from raw total energies is -0.952 eV/atom.

The structure belongs to space group P2_1/m (No. 11); the cell edges are 9.506, 3.920 and 16.155 Å and the angles 90.00°, 100.57° and 90.00°. The inequivalent atoms are Sc at (0.066, 0.250, 0.196), Pa at (0.393, 0.750, 0.355), I at (0.049, 0.750, 0.331), I at (0.132, 0.250, 0.899), I at (0.277, 0.750, 0.156), I at (0.315, 0.250, 0.496) and I at (0.399, 0.750, 0.712).

***

Record 17
DFT (PBE) results for ScPaI6 after structural relaxation.

The total energy comes out at -4.1389 eV per atom. The value obtained for the density is 4.7 g/cm3. Its crystal system is monoclinic. As for the volume: 46.193 Å³/atom. Its formation energy from raw total energies is -0.998 eV/atom.

The structure belongs to space group C2/m (No. 12); the cell edges are 7.343, 14.574 and 7.343 Å and the angles 90.00°, 109.85° and 90.00°. The inequivalent atoms are Sc at (0.000, 0.000, 0.000), Pa at (0.000, 0.500, 0.500), I at (0.239, 0.147, 0.238) and I at (0.245, 0.000, 0.754).

***

Record 18
DFT (PBE) results for PaSeI2 after structural relaxation.

The total energy comes out at -4.1568 eV per atom. The value obtained for the density is 6.8 g/cm3. Its crystal system is trigonal. As for the volume: 34.465 Å³/atom. Its formation energy from raw total energies is -0.137 eV/atom. For the relative energy among the computed polymorphs, the calculation gives 3.57 eV per formula unit.

The structure belongs to space group R-3m (No. 166, hexagonal axes); the cell edges are 3.6345, 3.6345 and 36.1535 Å and the angles 90.00°, 90.00° and 120.00°. The inequivalent atoms are Pa at (0.0000, 0.0000, 0.0000), Se at (0.0000, 0.0000, 0.5000) and I at (0.0000, 0.0000, 0.3966).

***

Record 19
DFT (PBE) results for PaSeI2 after structural relaxation.

The total energy comes out at -5.0024 eV per atom. The value obtained for the density is 5.2 g/cm3. Its crystal system is orthorhombic. As for the volume: 45.377 Å³/atom. Its formation energy from raw total energies is -0.982 eV/atom. For the relative energy among the computed polymorphs, the calculation gives 0.19 eV per formula unit.

The structure belongs to space group Immm (No. 71); the cell edges are 4.363, 5.449 and 15.269 Å and the angles 90.00°, 90.00° and 90.00°. The inequivalent atoms are Pa at (0.000, 0.000, 0.000), Se at (0.000, 0.500, 0.000) and I at (0.000, 0.500, 0.355).

***

Record 20
DFT (PBE) results for PaSeI2 after structural relaxation.

The total energy comes out at -5.0494 eV per atom. The value obtained for the density is 5.7 g/cm3. Its crystal system is monoclinic. As for the volume: 41.305 Å³/atom. Its formation energy from raw total energies is -1.029 eV/atom. For the relative energy among the computed polymorphs, the calculation gives 0.00 eV per formula unit.

The structure belongs to space group Cm (No. 8); the cell edges are 10.022, 3.891 and 8.939 Å and the angles 90.00°, 108.59° and 90.00°. The inequivalent atoms are Pa at (0.000, 0.000, 0.000), Se at (0.209, 0.500, 0.000), I at (0.016, 0.500, 0.281) and I at (0.357, 0.000, 0.719).